Compound: SmFe4Si2
Source: Alexandria via LeMat-Bulk
Functional: PBE
Structure: relaxed

Output
N(E_F)   10.96 states/eV per cell
E_tot   -7.459 eV/atom
Crystal system   tetragonal
Magnetic moment   7.51 Bohr magnetons per cell
Uncorrected formation energy   -0.399 eV/atom
Space-group type   P4_2/mnm (136)

Unit cell a=3.7288 b=7.1726 c=7.1726 alpha=90.00 beta=90.00 gamma=90.00
Last column: nearest neighbours and their distance in Å.
Fractional positions:
Fe: 0.5000 0.8546 0.4176  3 Si 2.38-2.40, 5 Fe 2.40-2.52
Si: 0.5000 0.2795 0.2795  6 Fe 2.38-2.40
Fe: 0.5000 0.5824 0.1454  3 Si 2.38-2.40, 5 Fe 2.40-2.52
Fe: 0.0000 0.9176 0.6454  3 Si 2.38-2.40, 5 Fe 2.40-2.52
Fe: 0.5000 0.4176 0.8546  3 Si 2.38-2.40, 5 Fe 2.40-2.52
Si: 0.0000 0.7795 0.2205  6 Fe 2.38-2.40
Sm: 0.5000 0.0000 0.0000  6 Si 2.84-2.91, 4 Fe 3.17
Fe: 0.5000 0.1454 0.5824  3 Si 2.38-2.40, 5 Fe 2.40-2.52
Si: 0.5000 0.7205 0.7205  6 Fe 2.38-2.40
Fe: 0.0000 0.6454 0.9176  3 Si 2.38-2.40, 5 Fe 2.40-2.52
Fe: 0.0000 0.0824 0.3546  3 Si 2.38-2.40, 5 Fe 2.40-2.52
Sm: 0.0000 0.5000 0.5000  6 Si 2.84-2.91, 4 Fe 3.17
Fe: 0.0000 0.3546 0.0824  3 Si 2.38-2.40, 5 Fe 2.40-2.52
Si: 0.0000 0.2205 0.7795  6 Fe 2.38-2.40